Computed, not measured: a relaxed Li5Cd3In3 crystal at the GGA-PBE level of DFT.

a = 9.8832 Å, b = 9.8832 Å, c = 3.0171 Å
α = 90.00°, β = 90.00°, γ = 120.00°
Space group P-62m (No. 189)
Inequivalent atoms, fractional coordinates:
Li1 0.0000 0.6695 0.0000 [3 per cell]
Li2 0.3333 0.6667 0.0000 [2 per cell]
Cd1 0.0000 0.1696 0.0000 [3 per cell]
In1 0.0000 0.4284 0.5000 [3 per cell]

Output
V in Å³ per cell: 255
Final energy in eV per atom: -1.93
DFT formation energy in eV per atom: -0.06